[1]
An optimized crystal structure of TaMo2W. Source: Alexandria via LeMat-Bulk, functional PBE.

## Properties
Calculated volume in Å³/f.u.: 65.6
D(E_F) in states/eV per atom: 0.483
Excess energy over the best structure of this formula in the dataset in meV/atom: 0
Uncorrected energy in eV/cell: -188.27
Formation enthalpy at 0 K in eV/atom: -0.15

CIF file:
```
data_TaMo2W
_symmetry_space_group_name_H-M 'F m -3 m'
_symmetry_Int_Tables_number 225
_symmetry_space_group_name_Hall '-F 4 2 3'
_cell_length_a 6.4010
_cell_length_b 6.4010
_cell_length_c 6.4010
_cell_angle_alpha 90.00
_cell_angle_beta 90.00
_cell_angle_gamma 90.00
loop_
_atom_site_label
_atom_site_type_symbol
_atom_site_fract_x
_atom_site_fract_y
_atom_site_fract_z
Ta1 Ta 0.0000 0.0000 0.0000
Mo1 Mo 0.2500 0.2500 0.2500
W1 W 0.0000 0.0000 0.5000
```

[2]
An optimized crystal structure of Ta2Mo6W3. Source: Alexandria via LeMat-Bulk, functional PBE.

## Properties
Calculated volume in Å³/f.u.: 183.5
D(E_F) in states/eV per atom: 0.935
Uncorrected energy in eV/cell: -247.12
Formation enthalpy at 0 K in eV/atom: 0.36

CIF file:
```
data_Ta2Mo6W3
_symmetry_space_group_name_H-M 'I m m m'
_symmetry_Int_Tables_number 71
_symmetry_space_group_name_Hall '-I 2 2'
_cell_length_a 2.6106
_cell_length_b 4.7140
_cell_length_c 29.8184
_cell_angle_alpha 90.00
_cell_angle_beta 90.00
_cell_angle_gamma 90.00
loop_
_atom_site_label
_atom_site_type_symbol
_atom_site_fract_x
_atom_site_fract_y
_atom_site_fract_z
Ta1 Ta 0.0000 0.0000 0.0465
Mo1 Mo 0.0000 0.0000 0.2241
Mo2 Mo 0.0000 0.5000 0.0962
Mo3 Mo 0.0000 0.5000 0.3640
W1 W 0.0000 0.0000 0.3142
W2 W 0.0000 0.0000 0.5000
```

[3]
An optimized crystal structure of Ta5Mo2W4. Source: Alexandria via LeMat-Bulk, functional PBE.

## Properties
Calculated volume in Å³/f.u.: 194.4
D(E_F) in states/eV per atom: 0.889
Excess energy over the best structure of this formula in the dataset in meV/atom: 172
Uncorrected energy in eV/cell: -255.13
Formation enthalpy at 0 K in eV/atom: 0.47

CIF file:
```
data_Ta5Mo2W4
_symmetry_space_group_name_H-M 'C 1 2/m 1'
_symmetry_Int_Tables_number 12
_symmetry_space_group_name_Hall '-C 2y'
_cell_length_a 20.1968
_cell_length_b 2.6673
_cell_length_c 7.2215
_cell_angle_alpha 90.00
_cell_angle_beta 91.67
_cell_angle_gamma 90.00
loop_
_atom_site_label
_atom_site_type_symbol
_atom_site_fract_x
_atom_site_fract_y
_atom_site_fract_z
Ta1 Ta 0.0000 0.0000 0.0000
Ta2 Ta 0.1354 0.5000 0.0809
Ta3 Ta 0.1842 0.5000 0.4577
Mo1 Mo 0.0925 0.5000 0.7322
W1 W 0.0434 0.5000 0.3626
W2 W 0.2247 0.0000 0.8218
```

[4]
An optimized crystal structure of Ta3Mo8W2. Source: Alexandria via LeMat-Bulk, functional PBE.

## Properties
Calculated volume in Å³/f.u.: 226.7
D(E_F) in states/eV per atom: 0.892
Uncorrected energy in eV/cell: -283.80
Formation enthalpy at 0 K in eV/atom: 0.48

CIF file:
```
data_Ta3Mo8W2
_symmetry_space_group_name_H-M 'C m m m'
_symmetry_Int_Tables_number 65
_symmetry_space_group_name_Hall '-C 2 2'
_cell_length_a 9.6075
_cell_length_b 15.2075
_cell_length_c 3.1036
_cell_angle_alpha 90.00
_cell_angle_beta 90.00
_cell_angle_gamma 90.00
loop_
_atom_site_label
_atom_site_type_symbol
_atom_site_fract_x
_atom_site_fract_y
_atom_site_fract_z
Ta1 Ta 0.0000 0.0000 0.0000
Ta2 Ta 0.2457 0.0000 0.5000
Mo1 Mo 0.0000 0.1401 0.5000
Mo2 Mo 0.0000 0.4175 0.5000
Mo3 Mo 0.2440 0.1582 0.0000
W1 W 0.0000 0.2783 0.0000
```

[5]
An optimized crystal structure of Ta6Mo2W. Source: Alexandria via LeMat-Bulk, functional PBE.

## Properties
Calculated volume in Å³/f.u.: 184.8
D(E_F) in states/eV per atom: 1.083
Excess energy over the best structure of this formula in the dataset in meV/atom: 728
Uncorrected energy in eV/cell: -200.00
Formation enthalpy at 0 K in eV/atom: 0.64

CIF file:
```
data_Ta6Mo2W
_symmetry_space_group_name_H-M 'C 1 2/m 1'
_symmetry_Int_Tables_number 12
_symmetry_space_group_name_Hall '-C 2y'
_cell_length_a 14.0135
_cell_length_b 6.2623
_cell_length_c 4.4353
_cell_angle_alpha 90.00
_cell_angle_beta 108.30
_cell_angle_gamma 90.00
loop_
_atom_site_label
_atom_site_type_symbol
_atom_site_fract_x
_atom_site_fract_y
_atom_site_fract_z
Ta1 Ta 0.0000 0.2489 0.0000
Ta2 Ta 0.1673 0.2500 0.6673
Mo1 Mo 0.1668 0.0000 0.1667
W1 W 0.0000 0.5000 0.5000
```

[6]
An optimized crystal structure of Ta5Mo2W4. Source: Alexandria via LeMat-Bulk, functional PBE.

## Properties
Calculated volume in Å³/f.u.: 196.0
D(E_F) in states/eV per atom: 0.788
Excess energy over the best structure of this formula in the dataset in meV/atom: 0
Uncorrected energy in eV/cell: -129.46
Formation enthalpy at 0 K in eV/atom: 0.30

CIF file:
```
data_Ta5Mo2W4
_symmetry_space_group_name_H-M 'P -1'
_symmetry_Int_Tables_number 2
_symmetry_space_group_name_Hall '-P 1'
_cell_length_a 2.7859
_cell_length_b 7.0834
_cell_length_c 10.0081
_cell_angle_alpha 89.07
_cell_angle_beta 84.27
_cell_angle_gamma 86.02
loop_
_atom_site_label
_atom_site_type_symbol
_atom_site_fract_x
_atom_site_fract_y
_atom_site_fract_z
Ta1 Ta 0.0000 0.0000 0.0000
Ta2 Ta 0.1519 0.9691 0.6473
Ta3 Ta 0.4306 0.7135 0.1840
Mo1 Mo 0.3730 0.3131 0.5490
W1 W 0.1128 0.3874 0.3109
W2 W 0.1878 0.6446 0.9234
```

[7]
An optimized crystal structure of Ta6MoW3. Source: Alexandria via LeMat-Bulk, functional PBE.

## Properties
Calculated volume in Å³/f.u.: 172.4
D(E_F) in states/eV per atom: 0.880
Uncorrected energy in eV/cell: -243.68
Formation enthalpy at 0 K in eV/atom: -0.10

CIF file:
```
data_Ta6MoW3
_symmetry_space_group_name_H-M 'P 1 21/m 1'
_symmetry_Int_Tables_number 11
_symmetry_space_group_name_Hall '-P 2yb'
_cell_length_a 7.9852
_cell_length_b 4.6027
_cell_length_c 9.7368
_cell_angle_alpha 90.00
_cell_angle_beta 105.52
_cell_angle_gamma 90.00
loop_
_atom_site_label
_atom_site_type_symbol
_atom_site_fract_x
_atom_site_fract_y
_atom_site_fract_z
Ta1 Ta 0.0463 0.2500 0.4005
Ta2 Ta 0.1465 0.7500 0.1977
Ta3 Ta 0.2512 0.2500 0.9977
Ta4 Ta 0.3477 0.7500 0.8024
Ta5 Ta 0.3494 0.2500 0.3005
Ta6 Ta 0.4467 0.2500 0.6022
Mo1 Mo 0.4487 0.7500 0.1010
W1 W 0.0473 0.7500 0.8988
W2 W 0.1492 0.2500 0.6995
W3 W 0.2527 0.7500 0.4996
```

[8]
An optimized crystal structure of Ta3Mo2W3. Source: Alexandria via LeMat-Bulk, functional PBE.

## Properties
Calculated volume in Å³/f.u.: 141.0
D(E_F) in states/eV per atom: 1.170
Excess energy over the best structure of this formula in the dataset in meV/atom: 630
Uncorrected energy in eV/cell: -92.05
Formation enthalpy at 0 K in eV/atom: 0.50

CIF file:
```
data_Ta3Mo2W3
_symmetry_space_group_name_H-M 'P -6 2 m'
_symmetry_Int_Tables_number 189
_symmetry_space_group_name_Hall 'P -6 -2'
_cell_length_a 7.1164
_cell_length_b 7.1164
_cell_length_c 3.2158
_cell_angle_alpha 90.00
_cell_angle_beta 90.00
_cell_angle_gamma 120.00
loop_
_atom_site_label
_atom_site_type_symbol
_atom_site_fract_x
_atom_site_fract_y
_atom_site_fract_z
Ta1 Ta 0.0000 0.3754 0.0000
Mo1 Mo 0.3333 0.6667 0.5000
W1 W 0.0000 0.7816 0.5000
```

[9]
An optimized crystal structure of TaMo2W. Source: Alexandria via LeMat-Bulk, functional PBE.

## Properties
Calculated volume in Å³/f.u.: 65.8
D(E_F) in states/eV per atom: 0.862
Excess energy over the best structure of this formula in the dataset in meV/atom: 41
Uncorrected energy in eV/cell: -46.90
Formation enthalpy at 0 K in eV/atom: -0.11

CIF file:
```
data_TaMo2W
_symmetry_space_group_name_H-M 'P 4 m m'
_symmetry_Int_Tables_number 99
_symmetry_space_group_name_Hall 'P 4 -2'
_cell_length_a 3.1984
_cell_length_b 3.1984
_cell_length_c 6.4290
_cell_angle_alpha 90.00
_cell_angle_beta 90.00
_cell_angle_gamma 90.00
loop_
_atom_site_label
_atom_site_type_symbol
_atom_site_fract_x
_atom_site_fract_y
_atom_site_fract_z
Ta1 Ta 0.0000 0.0000 0.0000
Mo1 Mo 0.0000 0.0000 0.5019
Mo2 Mo 0.5000 0.5000 0.7461
W1 W 0.5000 0.5000 0.2575
```

[10]
An optimized crystal structure of Ta3Mo2W2. Source: Alexandria via LeMat-Bulk, functional PBE.

## Properties
Calculated volume in Å³/f.u.: 117.8
D(E_F) in states/eV per atom: 0.584
Excess energy over the best structure of this formula in the dataset in meV/atom: 0
Uncorrected energy in eV/cell: -83.80
Formation enthalpy at 0 K in eV/atom: -0.10

CIF file:
```
data_Ta3Mo2W2
_symmetry_space_group_name_H-M 'P -1'
_symmetry_Int_Tables_number 2
_symmetry_space_group_name_Hall '-P 1'
_cell_length_a 2.8332
_cell_length_b 6.9730
_cell_length_c 6.9787
_cell_angle_alpha 117.85
_cell_angle_beta 98.02
_cell_angle_gamma 97.26
loop_
_atom_site_label
_atom_site_type_symbol
_atom_site_fract_x
_atom_site_fract_y
_atom_site_fract_z
Ta1 Ta 0.0000 0.0000 0.0000
Ta2 Ta 0.4208 0.5687 0.7163
Mo1 Mo 0.2857 0.7168 0.1462
W1 W 0.1485 0.8599 0.5689
```

[11]
An optimized crystal structure of Ta5MoW. Source: Alexandria via LeMat-Bulk, functional PBE.

## Properties
Calculated volume in Å³/f.u.: 129.1
D(E_F) in states/eV per atom: 0.882
Uncorrected energy in eV/cell: -322.36
Formation enthalpy at 0 K in eV/atom: 0.35

CIF file:
```
data_Ta5MoW
_symmetry_space_group_name_H-M 'C 1 2/c 1'
_symmetry_Int_Tables_number 15
_symmetry_space_group_name_Hall '-C 2yc'
_cell_length_a 7.0001
_cell_length_b 8.7710
_cell_length_c 8.8381
_cell_angle_alpha 90.00
_cell_angle_beta 107.91
_cell_angle_gamma 90.00
loop_
_atom_site_label
_atom_site_type_symbol
_atom_site_fract_x
_atom_site_fract_y
_atom_site_fract_z
Ta1 Ta 0.0000 0.1541 0.2500
Ta2 Ta 0.1130 0.3494 0.5198
Ta3 Ta 0.2006 0.1657 0.8336
Mo1 Mo 0.0000 0.4594 0.7500
W1 W 0.0000 0.0000 0.0000
```

[12]
An optimized crystal structure of Ta2Mo3W7. Source: Alexandria via LeMat-Bulk, functional PBE.

## Properties
Calculated volume in Å³/f.u.: 217.4
D(E_F) in states/eV per atom: 0.638
Uncorrected energy in eV/cell: -283.96
Formation enthalpy at 0 K in eV/atom: 0.41

CIF file:
```
data_Ta2Mo3W7
_symmetry_space_group_name_H-M 'C m m m'
_symmetry_Int_Tables_number 65
_symmetry_space_group_name_Hall '-C 2 2'
_cell_length_a 4.4883
_cell_length_b 21.8802
_cell_length_c 4.4281
_cell_angle_alpha 90.00
_cell_angle_beta 90.00
_cell_angle_gamma 90.00
loop_
_atom_site_label
_atom_site_type_symbol
_atom_site_fract_x
_atom_site_fract_y
_atom_site_fract_z
Ta1 Ta 0.0000 0.1473 0.0000
Mo1 Mo 0.0000 0.3523 0.5000
Mo2 Mo 0.0000 0.5000 0.5000
W1 W 0.0000 0.0000 0.0000
W2 W 0.0000 0.0726 0.5000
W3 W 0.0000 0.2854 0.0000
W4 W 0.0000 0.4275 0.0000
```

Which value of calculated volume does entry 1 give? 65.6 Å³/f.u.